Below is a geometry-optimized DyTmInC structure, with properties calculated at the GGA-PBE level.

Cell: 3.568 3.568 16.265 Å, 90.00 90.00 120.00°
Element x y z (fractional)
Dy  0.333  0.667  0.084
Dy  0.667  0.333  0.916
Tm  0.333  0.667  0.419
Tm  0.667  0.333  0.581
In  0.333  0.667  0.748
In  0.667  0.333  0.252
C  0.000  0.000  0.000
C  0.000  0.000  0.500

Summary:
Uncorrected energy ... -5.670 eV per atom
Space-group type ... No. 164